A plane-wave DFT calculation with PBE was carried out for crystalline Cs6K2AuO at its relaxed geometry.

Unit cell a=9.4888 b=9.4888 c=10.1750 alpha=117.76 beta=117.76 gamma=90.00
With the nearest neighbours (Å) after each atom.
Fractional positions:
Cs  0.0000  0.0000  0.0000  1 O 2.90
Cs  0.0001  0.4228  0.0001  1 O 2.90
Cs  0.4228  0.0001  0.0001  1 O 2.90
Cs  0.4230  0.4230  0.0003  1 O 2.90
Cs  0.5048  0.5048  0.5872  1 Au 3.53
Cs  0.9905  0.9905  0.5575  1 O 2.80
K  0.4543  0.9537  0.4849  12 Cs 4.78-5.21
K  0.9537  0.4543  0.4849  12 Cs 4.78-5.21
Au  0.7353  0.7353  0.0480  6 Cs 3.53-3.90
O  0.1733  0.1733  0.9236  5 Cs 2.80-2.90

Results
Space group ... No. 8
M_tot ... 0.000 Bohr magnetons per cell
Uncorrected formation energy ... -33.0 kJ/mol of atoms
VASP energy ... -0.139 Ry per atom